(1)
A geometry-optimized La6SnGe2Br3 structure, computed with PBE.

Values from the calculation:
**VASP energy**: -0.3801 Ry per atom
**Formation energy from raw total energies**: -1187 meV per atom
**Space-group type**: No. 12

Cell: 4.4967 8.8962 9.9595 Å, 101.56 103.05 90.00°
Last column: nearest neighbours and their distance in Å.
Atoms (fractional coordinates):
La  0.6672  0.1082  0.3343  2 Ge 3.03, 1 Sn 3.19, 3 Br 3.20-3.31
Ge  0.1677  0.3365  0.3355  6 La 3.02-3.05
Sn  0.5000  0.0000  0.0000  6 La 3.16-3.19
La  0.3267  0.4304  0.6534  3 Ge 3.03-3.05, 3 Br 3.28-3.29
Br  0.5000  0.5000  0.0000  6 La 3.18-3.29
La  0.0090  0.2524  0.0181  1 Ge 3.02, 2 Sn 3.16, 3 Br 3.18-3.30
La  0.6733  0.5696  0.3466  3 Ge 3.03-3.05, 3 Br 3.28-3.29
La  0.9910  0.7476  0.9819  1 Ge 3.02, 2 Sn 3.16, 3 Br 3.18-3.30
Br  0.1645  0.8338  0.3289  6 La 3.20-3.31
Br  0.8355  0.1662  0.6711  6 La 3.20-3.31
La  0.3328  0.8918  0.6657  2 Ge 3.03, 1 Sn 3.19, 3 Br 3.20-3.31
Ge  0.8323  0.6635  0.6645  6 La 3.02-3.05

---

(2)
A geometry-optimized La4TcGeBr2 structure, computed with PBE.

Values from the calculation:
**VASP energy**: -0.4192 Ry per atom
**Formation energy from raw total energies**: -948 meV per atom
**Space-group type**: No. 10

Cell: 4.2954 8.0994 7.5495 Å, 72.39 90.00 90.00°
Last column: nearest neighbours and their distance in Å.
Atoms (fractional coordinates):
La  0.0000  0.7041  0.7731  2 Tc 2.93, 1 Ge 3.01
Br  0.5000  0.0000  0.5000  6 La 3.41-3.59
La  0.0000  0.2959  0.2269  2 Tc 2.93, 1 Ge 3.01
Tc  0.5000  0.5000  0.0000  6 La 2.74-2.93
Ge  0.0000  0.5000  0.5000  6 La 3.01-3.03
La  0.5000  0.3031  0.7619  1 Tc 2.74, 2 Ge 3.03
Br  0.0000  0.0000  0.0000  6 La 3.34-3.35
La  0.5000  0.6969  0.2381  1 Tc 2.74, 2 Ge 3.03

---

(3)
A geometry-optimized La6Ge2TeBr3 structure, computed with PBE.

Values from the calculation:
**VASP energy**: -0.3838 Ry per atom
**Formation energy from raw total energies**: -1309 meV per atom
**Space-group type**: No. 12

Cell: 4.4568 8.8691 9.8843 Å, 101.29 103.03 90.00°
Last column: nearest neighbours and their distance in Å.
Atoms (fractional coordinates):
La  0.6707  0.1098  0.3414  2 Ge 3.00, 3 Br 3.14-3.30, 1 Te 3.24
La  0.3293  0.8902  0.6586  2 Ge 3.00, 3 Br 3.14-3.30, 1 Te 3.24
Br  0.5000  0.5000  0.0000  6 La 3.11-3.26
La  0.0111  0.2606  0.0221  1 Ge 2.96, 3 Br 3.11-3.28, 2 Te 3.19
Ge  0.8321  0.6658  0.6642  6 La 2.96-3.04
Ge  0.1679  0.3342  0.3358  6 La 2.96-3.04
Te  0.5000  0.0000  0.0000  6 La 3.19-3.24
Br  0.8372  0.1671  0.6743  6 La 3.14-3.30
La  0.3274  0.4308  0.6547  3 Ge 3.02-3.04, 3 Br 3.26
La  0.9889  0.7394  0.9779  1 Ge 2.96, 3 Br 3.11-3.28, 2 Te 3.19
La  0.6726  0.5692  0.3453  3 Ge 3.02-3.04, 3 Br 3.26
Br  0.1628  0.8329  0.3257  6 La 3.14-3.30

---

(4)
A geometry-optimized La4Ge2TeBr structure, computed with PBE.

Values from the calculation:
**VASP energy**: -0.4000 Ry per atom
**Formation energy from raw total energies**: -1223 meV per atom
**Space-group type**: No. 139

Cell: 6.3028 6.3028 7.6746 Å, 114.24 114.24 90.00°
Last column: nearest neighbours and their distance in Å.
Atoms (fractional coordinates):
La  0.9374  0.4371  0.0000  2 Ge 3.12, 2 Br 3.15, 2 Te 3.15
Ge  0.1871  0.6871  0.5000  6 La 3.12-3.15
La  0.6860  0.6860  0.4978  1 Br 3.11, 1 Te 3.14, 4 Ge 3.15
Ge  0.6871  0.1871  0.5000  6 La 3.12-3.15
Te  0.9371  0.9371  0.0000  6 La 3.14-3.15
La  0.1882  0.1882  0.5022  1 Br 3.11, 1 Te 3.14, 4 Ge 3.15
Br  0.4374  0.4374  0.0000  6 La 3.11-3.15
La  0.4371  0.9374  0.0000  2 Ge 3.12, 2 Br 3.15, 2 Te 3.15

---

(5)
A geometry-optimized La4GeTeBr2 structure, computed with PBE.

Values from the calculation:
**VASP energy**: -0.3822 Ry per atom
**Formation energy from raw total energies**: -1348 meV per atom
**Space-group type**: No. 10

Cell: 4.4648 7.5258 7.9098 Å, 70.28 90.00 90.00°
Last column: nearest neighbours and their distance in Å.
Atoms (fractional coordinates):
Ge  0.5000  0.5000  0.0000  6 La 2.97-3.00
La  0.0000  0.2702  0.2215  2 Ge 3.00, 3 Br 3.10-3.31, 1 Te 3.23
La  0.5000  0.2558  0.7728  1 Ge 2.97, 2 Br 3.10, 2 Te 3.22
Br  0.0000  0.0000  0.0000  6 La 3.10
Te  0.0000  0.5000  0.5000  6 La 3.22-3.23
La  0.0000  0.7298  0.7785  2 Ge 3.00, 3 Br 3.10-3.31, 1 Te 3.23
La  0.5000  0.7442  0.2272  1 Ge 2.97, 2 Br 3.10, 2 Te 3.22
Br  0.5000  0.0000  0.5000  6 La 3.31-3.34

---

(6)
A geometry-optimized La4GeTe2Br structure, computed with PBE.

Values from the calculation:
**VASP energy**: -0.4002 Ry per atom
**Formation energy from raw total energies**: -1409 meV per atom
**Space-group type**: No. 10

Cell: 4.4799 7.8525 7.7369 Å, 70.85 90.00 90.00°
Last column: nearest neighbours and their distance in Å.
Atoms (fractional coordinates):
La  0.0000  0.2647  0.2597  1 Ge 3.02, 2 Br 3.17, 3 Te 3.20-3.33
La  0.5000  0.7276  0.2696  2 Ge 3.05, 1 Br 3.16, 3 Te 3.20-3.32
Br  0.5000  0.5000  0.0000  6 La 3.16-3.17
Ge  0.0000  0.5000  0.5000  6 La 3.02-3.05
Te  0.5000  0.0000  0.5000  6 La 3.20
La  0.5000  0.2724  0.7304  2 Ge 3.05, 1 Br 3.16, 3 Te 3.20-3.32
La  0.0000  0.7353  0.7403  1 Ge 3.02, 2 Br 3.17, 3 Te 3.20-3.33
Te  0.0000  0.0000  0.0000  6 La 3.32-3.33

---

(7)
A geometry-optimized La2YGeBr structure, computed with PBE.

Values from the calculation:
**VASP energy**: -0.3494 Ry per atom
**Formation energy from raw total energies**: -232 meV per atom
**Space-group type**: No. 123

Cell: 5.6008 5.2459 5.6008 Å, 90.00 90.00 90.00°
Last column: nearest neighbours and their distance in Å.
Atoms (fractional coordinates):
La  0.0000  0.0000  0.5000  2 Br 2.80
Br  0.0000  0.0000  0.0000  2 Y 2.62, 4 La 2.80
La  0.5000  0.0000  0.0000  2 Br 2.80
Ge  0.5000  0.5000  0.5000  8 La 3.84, 4 Y 3.96
Y  0.0000  0.5000  0.0000  2 Br 2.62

---

(8)
A geometry-optimized LiGe2Br structure, computed with PBE.

Values from the calculation:
**VASP energy**: -0.2073 Ry per atom
**Formation energy from raw total energies**: 384 meV per atom
**Energy above the most stable polymorph in this dataset**: 70.6 kJ/mol of atoms
**Space-group type**: No. 225

Cell: 4.9477 4.9477 4.9477 Å, 60.00 60.00 60.00°
Last column: nearest neighbours and their distance in Å.
Atoms (fractional coordinates):
Ge  0.7500  0.7500  0.7500  4 Li 3.03, 4 Br 3.03
Br  0.5000  0.5000  0.5000  8 Ge 3.03
Li  0.0000  0.0000  0.0000  8 Ge 3.03
Ge  0.2500  0.2500  0.2500  4 Br 3.03, 4 Li 3.03

---

(9)
A geometry-optimized Li2Ge3Br8 structure, computed with PBE.

Values from the calculation:
**VASP energy**: -0.2375 Ry per atom
**Formation energy from raw total energies**: -842 meV per atom
**Space-group type**: No. 12

Cell: 7.0806 8.0914 8.1213 Å, 119.88 72.23 90.00°
Last column: nearest neighbours and their distance in Å.
Atoms (fractional coordinates):
Br  0.2349  0.3668  0.2533  2 Li 2.67-2.94, 2 Ge 2.84-2.85
Ge  0.0000  0.2571  0.0000  6 Br 2.75-2.93
Ge  0.0000  0.7429  0.0000  6 Br 2.75-2.93
Ge  0.5000  0.0000  0.0000  6 Br 2.84-2.85
Br  0.7390  0.1253  0.2506  3 Ge 2.84-2.93, 1 Li 3.10
Br  0.2610  0.8747  0.7494  3 Ge 2.84-2.93, 1 Li 3.10
Br  0.7713  0.6251  0.2502  1 Li 2.65, 2 Ge 2.75
Br  0.7651  0.6332  0.7467  2 Li 2.67-2.94, 2 Ge 2.84-2.85
Li  0.9734  0.7516  0.5033  5 Br 2.65-2.94
Br  0.7651  0.1135  0.7467  2 Li 2.67-2.94, 2 Ge 2.84-2.85
Br  0.2287  0.3749  0.7498  1 Li 2.65, 2 Ge 2.75
Li  0.0266  0.2484  0.4967  5 Br 2.65-2.94
Br  0.2349  0.8865  0.2533  2 Li 2.67-2.94, 2 Ge 2.84-2.85

---

Which of these has the highest formation energy from raw total energies? LiGe2Br